(1)
Crystalline BeSiW3 at its relaxed geometry. Source: Alexandria via LeMat-Bulk, functional GGA-PBEsol.

Cell and atoms, written as CIF:
```
data_BeSiW3
_cell_length_a 4.1670
_cell_length_b 4.1670
_cell_length_c 4.1670
_cell_angle_alpha 90.00
_cell_angle_beta 90.00
_cell_angle_gamma 90.00
_space_group_name_H-M_alt 'P m -3 m'
_space_group_IT_number 221
_space_group_name_Hall '-P 4 2 3'
loop_
_atom_site_label
_atom_site_type_symbol
_atom_site_fract_x
_atom_site_fract_y
_atom_site_fract_z
_atom_site_occupancy
Be1 Be 0.0000 0.0000 0.0000 1
Si1 Si 0.5000 0.5000 0.5000 1
W1 W 0.0000 0.0000 0.5000 1
```

Values from the calculation:
DOS at the Fermi energy = 0.702 states/eV/atom
Uncorrected energy = -0.34087 hartree per atom
Formation energy from raw total energies = 0.958 eV/atom

---

(2)
Crystalline Be2SiW at its relaxed geometry. Source: Alexandria via LeMat-Bulk, functional GGA-PBEsol.

Cell and atoms, written as CIF:
```
data_Be2SiW
_cell_length_a 3.3782
_cell_length_b 3.3782
_cell_length_c 7.7257
_cell_angle_alpha 90.00
_cell_angle_beta 90.00
_cell_angle_gamma 90.00
_space_group_name_H-M_alt 'I -4 m 2'
_space_group_IT_number 119
_space_group_name_Hall 'I -4 -2'
loop_
_atom_site_label
_atom_site_type_symbol
_atom_site_fract_x
_atom_site_fract_y
_atom_site_fract_z
_atom_site_occupancy
Be1 Be 0.0000 0.0000 0.0000 1
Be2 Be 0.0000 0.5000 0.2500 1
Si1 Si 0.0000 0.0000 0.5000 1
W1 W 0.0000 0.5000 0.7500 1
```

Values from the calculation:
DOS at the Fermi energy = 0.071 states/eV/atom
Uncorrected energy = -0.26281 hartree per atom
Formation energy from raw total energies = -0.263 eV/atom

---

(3)
Crystalline YBe2Si2 at its relaxed geometry. Source: Alexandria via LeMat-Bulk, functional GGA-PBEsol.

Cell and atoms, written as CIF:
```
data_YBe2Si2
_cell_length_a 3.8377
_cell_length_b 3.8377
_cell_length_c 9.7804
_cell_angle_alpha 90.00
_cell_angle_beta 90.00
_cell_angle_gamma 90.00
_space_group_name_H-M_alt 'I 4/m m m'
_space_group_IT_number 139
_space_group_name_Hall '-I 4 2'
loop_
_atom_site_label
_atom_site_type_symbol
_atom_site_fract_x
_atom_site_fract_y
_atom_site_fract_z
_atom_site_occupancy
Y1 Y 0.0000 0.0000 0.0000 1
Be1 Be 0.0000 0.5000 0.2500 1
Si1 Si 0.0000 0.0000 0.3777 1
```

Values from the calculation:
DOS at the Fermi energy = 0.403 states/eV/atom
Uncorrected energy = -0.20755 hartree per atom
Formation energy from raw total energies = -0.385 eV/atom

---

(4)
Crystalline YBeSi2 at its relaxed geometry. Source: Alexandria via LeMat-Bulk, functional GGA-PBEsol.

Cell and atoms, written as CIF:
```
data_YBeSi2
_cell_length_a 3.9887
_cell_length_b 3.9887
_cell_length_c 3.9765
_cell_angle_alpha 90.00
_cell_angle_beta 90.00
_cell_angle_gamma 90.00
_space_group_name_H-M_alt 'P 4/m m m'
_space_group_IT_number 123
_space_group_name_Hall '-P 4 2'
loop_
_atom_site_label
_atom_site_type_symbol
_atom_site_fract_x
_atom_site_fract_y
_atom_site_fract_z
_atom_site_occupancy
Y1 Y 0.0000 0.0000 0.0000 1
Be1 Be 0.5000 0.5000 0.0000 1
Si1 Si 0.0000 0.5000 0.5000 1
```

Values from the calculation:
DOS at the Fermi energy = 0.385 states/eV/atom
Uncorrected energy = -0.21308 hartree per atom
Formation energy from raw total energies = -0.219 eV/atom

---

Question: Look up the uncorrected energy of the third one.
Answer: -0.20755 hartree per atom